Entry 1:
A plane-wave DFT calculation with SCAN was carried out for BePS3 at its PBEsol-relaxed geometry.

The space group is Pm-3m (No. 221) and the conventional cell measures 4.411, 4.411 and 4.411 Å, with angles of 90.00, 90.00 and 90.00 degrees. Symmetry generates all atoms from Be at (0.000, 0.000, 0.000), P at (0.500, 0.500, 0.500) and S at (0.000, 0.500, 0.500).



Entry 2:
A plane-wave DFT calculation with SCAN was carried out for BeSbP2S at its PBEsol-relaxed geometry.

The space group is P4/mmm (No. 123) and the conventional cell measures 4.369, 4.369 and 4.270 Å, with angles of 90.00, 90.00 and 90.00 degrees. Symmetry generates all atoms from Be at (0.000, 0.000, 0.000), Sb at (0.500, 0.500, 0.500), P at (0.000, 0.500, 0.000) and S at (0.000, 0.000, 0.500).



Entry 3:
A plane-wave DFT calculation with SCAN was carried out for ScBePS2 at its PBEsol-relaxed geometry.

The space group is P4/mmm (No. 123) and the conventional cell measures 4.771, 4.771 and 4.917 Å, with angles of 90.00, 90.00 and 90.00 degrees. Symmetry generates all atoms from Sc at (0.000, 0.000, 0.000), Be at (0.500, 0.500, 0.500), P at (0.000, 0.000, 0.500) and S at (0.000, 0.500, 0.000).



Entry 4:
A plane-wave DFT calculation with SCAN was carried out for BeSiPS2 at its PBEsol-relaxed geometry.

The space group is P4/mmm (No. 123) and the conventional cell measures 4.414, 4.414 and 4.476 Å, with angles of 90.00, 90.00 and 90.00 degrees. Symmetry generates all atoms from Be at (0.000, 0.000, 0.000), Si at (0.500, 0.500, 0.500), P at (0.500, 0.500, 0.000) and S at (0.000, 0.500, 0.500).



Entry 5:
A plane-wave DFT calculation with SCAN was carried out for BeSnP2S at its PBEsol-relaxed geometry.

The space group is P4/mmm (No. 123) and the conventional cell measures 4.323, 4.323 and 4.466 Å, with angles of 90.00, 90.00 and 90.00 degrees. Symmetry generates all atoms from Be at (0.000, 0.000, 0.000), Sn at (0.500, 0.500, 0.500), P at (0.000, 0.500, 0.000) and S at (0.000, 0.000, 0.500).



Entry 6:
A plane-wave DFT calculation with SCAN was carried out for BeZnP2S at its PBEsol-relaxed geometry.

The space group is P4/mmm (No. 123) and the conventional cell measures 4.160, 4.160 and 4.451 Å, with angles of 90.00, 90.00 and 90.00 degrees. Symmetry generates all atoms from Be at (0.000, 0.000, 0.000), Zn at (0.500, 0.500, 0.500), P at (0.000, 0.500, 0.000) and S at (0.000, 0.000, 0.500).



no.,magnetization (μB per atom),ΔE_f (raw) (kJ/mol of formula units)
1,0.0000,386
2,0.0000,275
3,0.0000,185
4,0.0000,399
5,0.0000,255
6,0.0000,344